The following is a PBE calculation of crystalline SrOs2Rh at its relaxed geometry, from Alexandria.

Cell and atoms, written as CIF:
```
data_SrOs2Rh
_chemical_formula_sum 'Sr1 Os2 Rh1'
_cell_length_a 2.828
_cell_length_b 3.715
_cell_length_c 7.178
_cell_angle_alpha 90.00
_cell_angle_beta 90.00
_cell_angle_gamma 90.00
_symmetry_space_group_name_H-M 'P m m 2'
_symmetry_Int_Tables_number 25
loop_
_symmetry_equiv_pos_as_xyz
'x,y,z'
'-x,-y,z'
'-x,y,z'
'x,-y,z'
loop_
_atom_site_label
_atom_site_fract_x
_atom_site_fract_y
_atom_site_fract_z
Sr1 0.000 0.000 0.000
Os1 0.000 0.000 0.493
Os2 0.500 0.500 0.333
Rh1 0.500 0.500 0.700
```

Output
M_tot (μB per cell): 0.00
ΔH_f (0 K) (eV per atom): 0.4380
ΔE to the lowest computed polymorph (eV/atom): 0.012

The following is a PBE calculation of crystalline SrOs2Rh at its relaxed geometry, from Alexandria.

Cell and atoms, written as CIF:
```
data_SrOs2Rh
_chemical_formula_sum 'Sr4 Os8 Rh4'
_cell_length_a 7.861
_cell_length_b 7.861
_cell_length_c 5.184
_cell_angle_alpha 90.00
_cell_angle_beta 90.00
_cell_angle_gamma 90.00
_symmetry_space_group_name_H-M 'I -4 2 d'
_symmetry_Int_Tables_number 122
_symmetry_space_group_name_Hall 'I -4 2bw'
loop_
_atom_site_label
_atom_site_fract_x
_atom_site_fract_y
_atom_site_fract_z
Sr1 0.000 0.000 0.000
Os1 0.194 0.250 0.625
Rh1 0.000 0.000 0.500
```

Output
M_tot (μB per cell): 0.00
ΔH_f (0 K) (eV per atom): 1.0400
ΔE to the lowest computed polymorph (eV/atom): 0.614